1.
The following is a GGA-PBE calculation of a relaxed K2NaIn2 crystal, from the Alexandria database.

Output
Fermi-level density of states = 4.392 states/eV/f.u.
E = -1.857 eV/atom
relative energy among the computed polymorphs = 0 meV per atom
DFT formation energy = -0.059 eV per atom
calculated volume = 40.445 Å³ per atom
total magnetic moment = 0.0 μB per formula unit

Cell lengths 5.732, 6.130, 11.511 Å; angles 90.00, 90.00, 90.00 degrees
Space group Immm (No. 71)
One atom of each set of equivalent atoms:
K (0.000, 0.000, 0.196)
Na (0.000, 0.500, 0.000)
In (0.000, 0.252, 0.500)

---

2.
The following is a GGA-PBE calculation of a relaxed Tb5Pm4Tl crystal, from the Alexandria database.

Output
Fermi-level density of states = 16.584 states/eV/f.u.
E = -4.420 eV/atom
relative energy among the computed polymorphs = 0 meV per atom
DFT formation energy = 0.032 eV per atom
calculated volume = 31.872 Å³ per atom
total magnetic moment = 0.0 μB per formula unit

Cell lengths 4.179, 4.179, 18.251 Å; angles 90.00, 90.00, 90.00 degrees
Space group P4/mmm (No. 123)
One atom of each set of equivalent atoms:
Tb (0.000, 0.000, 0.000)
Tb (0.000, 0.000, 0.207)
Tb (0.000, 0.000, 0.412)
Pm (0.500, 0.500, 0.102)
Pm (0.500, 0.500, 0.303)
Tl (0.500, 0.500, 0.500)

---

3.
The following is a GGA-PBE calculation of a relaxed RbTeI2N crystal, from the Alexandria database.

Output
Fermi-level density of states = 3.965 states/eV/f.u.
E = -2.859 eV/atom
relative energy among the computed polymorphs = 280 meV per atom
formation energy (no corrections) = 0.248 eV/atom
calculated volume = 36.159 Å³ per atom
total magnetic moment = 0.4 μB per formula unit

Cell lengths 6.609, 6.609, 4.140 Å; angles 90.00, 90.00, 90.00 degrees
Space group P4/mmm (No. 123)
One atom of each set of equivalent atoms:
Rb (0.000, 0.000, 0.000)
Te (0.500, 0.500, 0.000)
I (0.000, 0.500, 0.500)
N (0.500, 0.500, 0.500)